A relaxed structure of CaMg2Sb2. Source: Alexandria via LeMat-Bulk, functional GGA-PBE.

Geometry as POSCAR:
```
CaMg2Sb2
1.0
4.423 0.000 0.000
0.000 4.423 0.000
0.000 0.000 14.484
Ca Mg Sb
2 4 4
Cartesian
0.000 0.000 0.000
2.211 2.211 7.242
0.000 2.211 3.621
0.000 2.211 10.863
2.211 0.000 3.621
2.211 0.000 10.863
0.000 0.000 5.488
0.000 0.000 8.996
2.211 2.211 1.754
2.211 2.211 12.730
```

The value obtained for the energy above the most stable polymorph in this dataset is 0.86 eV/f.u. As for the crystal system: tetragonal. Its uncorrected formation energy is -0.545 eV/atom.

***

A relaxed structure of CaMg2Sb2. Source: Alexandria via LeMat-Bulk, functional GGA-PBE.

Geometry as POSCAR:
```
CaMg2Sb2
1.0
4.691 0.000 0.000
-2.345 4.062 0.000
0.000 0.000 7.585
Ca Mg Sb
1 2 2
Cartesian
0.000 0.000 0.000
0.000 2.708 4.787
2.345 1.354 2.798
0.000 2.708 1.849
2.345 1.354 5.735
```

The value obtained for the energy above the most stable polymorph in this dataset is 0.00 eV/f.u. As for the crystal system: trigonal. Its uncorrected formation energy is -0.717 eV/atom.

***

A relaxed structure of CaMgSb. Source: Alexandria via LeMat-Bulk, functional GGA-PBE.

Geometry as POSCAR:
```
CaMgSb
1.0
7.157 0.000 0.000
0.000 7.157 0.000
0.000 0.000 7.157
Ca Mg Sb
4 4 4
Cartesian
0.000 0.000 0.000
0.000 3.578 3.578
3.578 0.000 3.578
3.578 3.578 0.000
0.000 0.000 3.578
0.000 3.578 0.000
3.578 0.000 0.000
3.578 3.578 3.578
1.789 1.789 5.367
1.789 5.367 1.789
5.367 1.789 1.789
5.367 5.367 5.367
```

As for the crystal system: cubic. Its uncorrected formation energy is -0.449 eV/atom.